Density functional theory data (PBE) for a relaxed Nd7Hg2Ru2 crystal.

Its total energy is -111.0 eV for the cell shown. The volume is 640.9 Å³ per cell. The energy above the most stable polymorph in this dataset is 0.0000 eV per atom.

The structure belongs to space group Imm2 (No. 44); the cell edges are 3.940, 16.470 and 9.877 Å and the angles 90.00°, 90.00° and 90.00°. The distinct sites, in fractional coordinates, are Nd at (0.000, 0.000, 0.000), Nd at (0.000, 0.131, 0.576), Nd at (0.000, 0.320, 0.378), Nd at (0.000, 0.349, 0.734), Hg at (0.000, 0.000, 0.326), Hg at (0.000, 0.500, 0.232) and Ru at (0.000, 0.242, 0.065).

---

Density functional theory data (PBE) for a relaxed Na3Mn2SbTe6 crystal.

Its total energy is -101.0 eV for the cell shown. The volume is 692.8 Å³ per cell. As for the formation energy from raw total energies: -10.1 kcal/mol of atoms.

The structure belongs to space group C2/m (No. 12); the cell edges are 7.249, 12.565 and 7.988 Å and the angles 90.00°, 107.78° and 90.00°. The distinct sites, in fractional coordinates, are Na at (0.000, 0.000, 0.000), Na at (0.000, 0.344, 0.000), Mn at (0.000, 0.168, 0.500), Sb at (0.000, 0.500, 0.500), Te at (0.213, 0.000, 0.709) and Te at (0.250, 0.178, 0.288).

---

Q: The highest volume belongs to which entry?
A: Na3Mn2SbTe6

---

Q: volume of number 2 (Na3Mn2SbTe6)?
A: 692.8 Å³ per cell

---

Q: What is the volume in the first record?
A: 640.9 Å³ per cell